Record 1
Tb2ErTmRh4 after structural relaxation, computed with PBE-GGA.

- symmetry = R-3m, No. 166
- theoretical density (g cm⁻³) = 11.1
- E_form (eV per atom) = -0.902

Lattice parameters (Å, degrees): 4.8252 4.8252 8.3692 73.25 73.25 60.00
Last column: nearest neighbours and their distance in Å.
Fractional positions:
Tb1 0.7502 0.7502 0.7495  8 Rh 2.95-2.97
Tb2 0.2498 0.2498 0.2505  8 Rh 2.95-2.97
Er1 0.0000 0.0000 0.0000  8 Rh 2.96
Tm1 0.5000 0.5000 0.5000  8 Rh 2.95
Rh1 0.3752 0.3752 0.8743  1 Tm 2.95, 4 Tb 2.95-2.97, 3 Er 2.96
Rh2 0.8748 0.8748 0.3756  4 Tb 2.95-2.96, 3 Tm 2.95, 1 Er 2.96
Rh3 0.1252 0.1252 0.6244  4 Tb 2.95-2.96, 3 Tm 2.95, 1 Er 2.96
Rh4 0.6248 0.6248 0.1257  1 Tm 2.95, 4 Tb 2.95-2.97, 3 Er 2.96

---

Record 2
MgAs2HBr after structural relaxation, computed with PBE-GGA.

- symmetry = P4/mmm, No. 123
- theoretical density (g cm⁻³) = 4.4
- E (eV for the cell shown) = -15.2

Lattice parameters (Å, degrees): 3.9400 3.9400 6.2461 90.00 90.00 90.00
Last column: nearest neighbours and their distance in Å.
Fractional positions:
H1 0.0000 0.0000 0.0000  4 As 1.97
As1 0.0000 0.5000 0.0000  2 H 1.97
As2 0.5000 0.0000 0.0000  2 H 1.97
Mg1 0.5000 0.5000 0.5000  4 Br 2.79
Br1 0.0000 0.0000 0.5000  4 Mg 2.79